Li6La3Sn5: optimized geometry, PBE.

Cell: 4.7012 8.9018 8.9018 Å, 68.23 74.69 74.69°
Element x y z (fractional)
Li (0.1408, 0.5746, 0.1439)
Li (0.5000, 0.6840, 0.3160)
Li (0.1408, 0.1439, 0.5746)
Li (0.8592, 0.4254, 0.8561)
Li (0.5000, 0.3160, 0.6840)
Li (0.8592, 0.8561, 0.4254)
Sn (0.3445, 0.2987, 0.0123)
Sn (0.3445, 0.0123, 0.2987)
Sn (0.0000, 0.5000, 0.5000)
Sn (0.6555, 0.7013, 0.9877)
Sn (0.6555, 0.9877, 0.7013)
La (0.7037, 0.2963, 0.2963)
La (0.0000, 0.0000, 0.0000)
La (0.2963, 0.7037, 0.7037)

Values from the calculation:
calculated density	5.33	g/cm³
volume	23.42	A^3/atom
SG	Immm, No. 71
ΔE_f	-0.58	eV/atom